[1]
## FePt4 (PBE)

Data for a geometry-optimized FePt4 structure.

**Crystal system**: cubic
**Excess energy over the best structure of this formula in the dataset**: 499.6 meV/atom

Cell: 5.599 5.599 5.599 Å, 90.00 90.00 90.00°
Space group Im-3m (No. 229)
Unique sites:
Fe: 0.000 0.000 0.000 (multiplicity 2)
Pt: 0.250 0.250 0.250 (multiplicity 8)



[2]
## Fe2Pt (PBE)

Data for a geometry-optimized Fe2Pt structure.

**Crystal system**: tetragonal
**Energy**: -7.610 eV per atom

Cell: 2.669 2.669 23.633 Å, 90.00 90.00 90.00°
Space group I4_1/amd (No. 141, origin choice 2)
Unique sites:
Fe: 0.000 0.250 0.294 (multiplicity 8)
Pt: 0.000 0.250 0.875 (multiplicity 4)



[3]
## Fe3Pt4 (PBE)

Data for a geometry-optimized Fe3Pt4 structure.

**Crystal system**: tetragonal
**Excess energy over the best structure of this formula in the dataset**: 0.1 meV/atom

Cell: 3.222 3.222 19.700 Å, 90.00 90.00 90.00°
Space group I4/mmm (No. 139)
Unique sites:
Fe: 0.000 0.000 0.000 (multiplicity 2)
Fe: 0.000 0.000 0.287 (multiplicity 4)
Pt: 0.000 0.000 0.152 (multiplicity 4)
Pt: 0.000 0.000 0.430 (multiplicity 4)



[4]
## FePt4 (PBE)

Data for a geometry-optimized FePt4 structure.

**Crystal system**: tetragonal
**Excess energy over the best structure of this formula in the dataset**: 468.2 meV/atom

Cell: 3.631 3.631 13.219 Å, 90.00 90.00 90.00°
Space group I4/mmm (No. 139)
Unique sites:
Fe: 0.000 0.000 0.000 (multiplicity 2)
Pt: 0.000 0.000 0.405 (multiplicity 4)
Pt: 0.000 0.500 0.250 (multiplicity 4)



[5]
## FePt (PBE)

Data for a geometry-optimized FePt structure.

**Crystal system**: cubic
**Energy**: -6.447 eV per atom

Cell: 5.575 5.575 5.575 Å, 90.00 90.00 90.00°
Space group F-43m (No. 216)
Unique sites:
Fe: 0.000 0.000 0.000 (multiplicity 4)
Pt: 0.250 0.250 0.750 (multiplicity 4)



[6]
## FePt (PBE)

Data for a geometry-optimized FePt structure.

**Crystal system**: orthorhombic
**Energy**: -6.054 eV per atom

Cell: 7.728 10.174 10.199 Å, 90.00 90.00 90.00°
Space group Fddd (No. 70, origin choice 2)
Unique sites:
Fe: 0.125 0.284 0.125 (multiplicity 16)
Pt: 0.125 0.125 0.287 (multiplicity 16)



[7]
## Fe3Pt4 (PBE)

Data for a geometry-optimized Fe3Pt4 structure.

**Crystal system**: trigonal
**Excess energy over the best structure of this formula in the dataset**: 0.0 meV/atom

Cell: 4.3278 4.3278 19.0905 Å, 90.00 90.00 120.00°
Space group R-3m (No. 166, hexagonal axes)
Unique sites:
Fe: 0.0000 0.0000 0.0000 (multiplicity 3)
Fe: 0.0000 0.0000 0.2740 (multiplicity 6)
Pt: 0.0000 0.0000 0.1357 (multiplicity 6)
Pt: 0.0000 0.0000 0.4064 (multiplicity 6)



[8]
## FePt3 (PBE)

Data for a geometry-optimized FePt3 structure.

**Crystal system**: cubic
**Energy**: -5.306 eV per atom

Cell: 4.604 4.604 4.604 Å, 90.00 90.00 90.00°
Space group Pm-3m (No. 221)
Unique sites:
Fe: 0.000 0.000 0.000 (multiplicity 1)
Pt: 0.000 0.000 0.500 (multiplicity 3)



[9]
## Fe4Pt5 (PBE)

Data for a geometry-optimized Fe4Pt5 structure.

**Crystal system**: hexagonal
**Excess energy over the best structure of this formula in the dataset**: 39.9 meV/atom

Cell: 7.5247 7.5247 5.3334 Å, 90.00 90.00 120.00°
Space group P6_3/mcm (No. 193)
Unique sites:
Fe: 0.0000 0.0000 0.0000 (multiplicity 2)
Fe: 0.0000 0.3335 0.2500 (multiplicity 6)
Pt: 0.0000 0.3250 0.7500 (multiplicity 6)
Pt: 0.3333 0.6667 0.0000 (multiplicity 4)



[10]
## FePt (PBE)

Data for a geometry-optimized FePt structure.

**Crystal system**: tetragonal
**Energy**: -7.395 eV per atom

Cell: 2.720 2.720 7.588 Å, 90.00 90.00 90.00°
Space group P4/nmm (No. 129, origin choice 2)
Unique sites:
Fe: 0.250 0.250 0.115 (multiplicity 2)
Pt: 0.250 0.250 0.643 (multiplicity 2)



[11]
## FePt (PBE)

Data for a geometry-optimized FePt structure.

**Crystal system**: tetragonal
**Energy**: -6.220 eV per atom

Cell: 6.445 6.445 3.825 Å, 90.00 90.00 90.00°
Space group P4_2/mnm (No. 136)
Unique sites:
Fe: 0.177 0.177 0.000 (multiplicity 4)
Pt: 0.181 0.819 0.000 (multiplicity 4)



[12]
## FePt3 (PBE)

Data for a geometry-optimized FePt3 structure.

**Crystal system**: cubic
**Energy**: -6.856 eV per atom

Cell: 3.918 3.918 3.918 Å, 90.00 90.00 90.00°
Space group Pm-3m (No. 221)
Unique sites:
Fe: 0.000 0.000 0.000 (multiplicity 1)
Pt: 0.000 0.500 0.500 (multiplicity 3)



Number 1: spin magnetization 2.38 μB per formula unit, volume 17.6 Å³/atom. Number 2: spin magnetization 5.89 μB per formula unit, volume 14.0 Å³/atom. Number 3: spin magnetization 10.36 μB per formula unit, volume 14.6 Å³/atom. Number 4: spin magnetization 4.15 μB per formula unit, volume 17.4 Å³/atom. Number 5: spin magnetization 3.86 μB per formula unit, volume 21.7 Å³/atom. Number 6: spin magnetization 0.00 μB per formula unit, volume 25.1 Å³/atom. Number 7: spin magnetization 10.31 μB per formula unit, volume 14.7 Å³/atom. Number 8: spin magnetization 3.32 μB per formula unit, volume 24.4 Å³/atom. Number 9: spin magnetization 14.03 μB per formula unit, volume 14.5 Å³/atom. Number 10: spin magnetization 3.10 μB per formula unit, volume 14.0 Å³/atom. Number 11: spin magnetization 0.00 μB per formula unit, volume 19.9 Å³/atom. Number 12: spin magnetization 4.68 μB per formula unit, volume 15.0 Å³/atom.